DFT (PBE) results for a relaxed Sm2ErAl crystal.

Distance to the lowest polymorph of the same formula = 3.4 kJ/mol of atoms
ΔH_f (0 K) = -0.1504 eV per atom

a = 3.5388 Å, b = 3.5388 Å, c = 9.1870 Å
α = 90.00°, β = 90.00°, γ = 90.00°
Last column: nearest neighbours and their distance in Å.
Sites, in units of the cell vectors:
Al1 0.5000 0.5000 0.0000  8 Sm 3.20, 4 Al 3.54
Sm1 0.0000 0.0000 0.2169  4 Al 3.20, 4 Sm 3.54
Er1 0.5000 0.5000 0.5000  4 Er 3.54, 8 Sm 3.61
Sm2 0.0000 0.0000 0.7831  4 Al 3.20, 4 Sm 3.54

DFT (PBE) results for a relaxed Sm5ErAl3 crystal.

ΔH_f (0 K) = -0.2463 eV per atom

a = 6.7477 Å, b = 9.2016 Å, c = 9.2030 Å
α = 120.00°, β = 90.00°, γ = 90.00°
Last column: nearest neighbours and their distance in Å.
Sites, in units of the cell vectors:
Sm1 0.7500 0.9999 0.3347  5 Al 3.05-3.37
Sm2 0.0000 0.3330 0.6661  8 Sm 3.37-3.50, 6 Al 3.52-3.53
Er1 0.5000 0.0000 0.0000  2 Er 3.37, 6 Al 3.46, 6 Sm 3.51
Al1 0.7500 0.0000 0.6718  5 Sm 3.05-3.37
Sm3 0.2500 0.6651 0.0000  5 Al 3.05-3.37
Sm4 0.0000 0.6670 0.3339  8 Sm 3.37-3.50, 6 Al 3.52-3.53
Al2 0.2500 0.0000 0.3282  5 Sm 3.05-3.37
Al3 0.7500 0.3282 0.3282  5 Sm 3.05-3.37
Er2 0.0000 0.0000 0.0000  2 Er 3.37, 6 Al 3.46, 6 Sm 3.51
Sm5 0.5000 0.6670 0.3339  8 Sm 3.37-3.50, 6 Al 3.52-3.53
Al4 0.7500 0.6719 0.0000  5 Sm 3.05-3.37
Sm6 0.2500 0.3348 0.3347  5 Al 3.05-3.37
Sm7 0.5000 0.3330 0.6661  8 Sm 3.37-3.50, 6 Al 3.52-3.53
Sm8 0.2500 0.0001 0.6653  5 Al 3.05-3.37
Sm9 0.7500 0.6652 0.6653  5 Al 3.05-3.37
Sm10 0.7500 0.3349 0.0000  5 Al 3.05-3.37
Al5 0.2500 0.3281 0.0000  5 Sm 3.05-3.37
Al6 0.2500 0.6718 0.6718  5 Sm 3.05-3.37

DFT (PBE) results for a relaxed SmEr2Al3 crystal.

Distance to the lowest polymorph of the same formula = 0.0 kJ/mol of atoms
ΔH_f (0 K) = -0.3895 eV per atom

a = 3.5866 Å, b = 3.5866 Å, c = 10.9189 Å
α = 90.00°, β = 90.00°, γ = 90.00°
Last column: nearest neighbours and their distance in Å.
Sites, in units of the cell vectors:
Al1 0.0000 0.0000 0.0000  8 Er 3.09
Er1 0.5000 0.5000 0.8377  8 Al 3.08-3.09
Al2 0.0000 0.0000 0.6770  4 Er 3.08, 4 Sm 3.19
Al3 0.0000 0.0000 0.3230  4 Er 3.08, 4 Sm 3.19
Sm1 0.5000 0.5000 0.5000  8 Al 3.19
Er2 0.5000 0.5000 0.1623  8 Al 3.08-3.09

DFT (PBE) results for a relaxed Sm6ErAl crystal.

Distance to the lowest polymorph of the same formula = 0.0 kJ/mol of atoms
ΔH_f (0 K) = -0.0638 eV per atom

a = 4.9275 Å, b = 4.9275 Å, c = 10.0999 Å
α = 90.00°, β = 90.00°, γ = 90.00°
Last column: nearest neighbours and their distance in Å.
Sites, in units of the cell vectors:
Sm1 0.5000 0.0000 0.2610  2 Al 3.45, 8 Sm 3.45-3.61, 2 Er 3.61
Sm2 0.5000 0.5000 0.0000  4 Er 3.48, 8 Sm 3.61
Sm3 0.5000 0.5000 0.5000  8 Sm 3.45, 4 Al 3.48
Sm4 0.0000 0.5000 0.7390  2 Al 3.45, 8 Sm 3.45-3.61, 2 Er 3.61
Er1 0.0000 0.0000 0.0000  12 Sm 3.48-3.61
Sm5 0.0000 0.5000 0.2610  2 Al 3.45, 8 Sm 3.45-3.61, 2 Er 3.61
Sm6 0.5000 0.0000 0.7390  2 Al 3.45, 8 Sm 3.45-3.61, 2 Er 3.61
Al1 0.0000 0.0000 0.5000  12 Sm 3.45-3.48

DFT (PBE) results for a relaxed Sm2ErAl2 crystal.

Distance to the lowest polymorph of the same formula = 16.8 kJ/mol of atoms
ΔH_f (0 K) = -0.1396 eV per atom

a = 4.8990 Å, b = 5.7454 Å, c = 10.9420 Å
α = 90.00°, β = 90.00°, γ = 115.24°
Last column: nearest neighbours and their distance in Å.
Sites, in units of the cell vectors:
Al1 0.0328 0.0655 0.3671  4 Sm 2.91-3.00, 1 Al 2.91, 2 Er 3.12
Al2 0.2110 0.4219 0.1619  1 Al 2.91, 5 Sm 3.17-3.23
Sm1 0.3006 0.6012 0.8542  4 Al 3.00-3.23, 1 Sm 3.30
Sm2 0.6994 0.3988 0.3542  4 Al 3.00-3.23, 1 Sm 3.30
Er1 0.3860 0.7720 0.4755  4 Al 3.12-3.34, 3 Sm 3.39-3.47
Er2 0.6140 0.2280 0.9755  4 Al 3.12-3.34, 3 Sm 3.39-3.47
Al3 0.7890 0.5781 0.6619  1 Al 2.91, 5 Sm 3.17-3.23
Sm3 0.9079 0.8159 0.1266  5 Al 2.91-3.22
Sm4 0.0921 0.1841 0.6266  5 Al 2.91-3.22
Al4 0.9672 0.9345 0.8671  4 Sm 2.91-3.00, 1 Al 2.91, 2 Er 3.12

DFT (PBE) results for a relaxed Sm5ErAl4 crystal.

ΔH_f (0 K) = -0.2795 eV per atom

a = 3.6572 Å, b = 3.6572 Å, c = 19.8671 Å
α = 90.00°, β = 90.00°, γ = 90.00°
Last column: nearest neighbours and their distance in Å.
Sites, in units of the cell vectors:
Er1 0.0000 0.0000 0.0000  8 Sm 3.59, 4 Er 3.66
Al1 0.0000 0.0000 0.7819  8 Sm 3.18-3.20
Sm1 0.5000 0.5000 0.5000  8 Al 3.18
Al2 0.0000 0.0000 0.5935  8 Sm 3.18-3.19
Sm2 0.5000 0.5000 0.3128  8 Al 3.19-3.20
Sm3 0.5000 0.5000 0.6872  8 Al 3.19-3.20
Sm4 0.5000 0.5000 0.8747  4 Al 3.18
Al3 0.0000 0.0000 0.4065  8 Sm 3.18-3.19
Al4 0.0000 0.0000 0.2181  8 Sm 3.18-3.20
Sm5 0.5000 0.5000 0.1253  4 Al 3.18

DFT (PBE) results for a relaxed Sm2Er4Al crystal.

ΔH_f (0 K) = -0.0325 eV per atom

a = 3.5892 Å, b = 3.5892 Å, c = 19.0513 Å
α = 84.59°, β = 84.59°, γ = 60.00°
Last column: nearest neighbours and their distance in Å.
Sites, in units of the cell vectors:
Er1 0.0895 0.0895 0.7314  9 Er 3.53-3.59, 3 Sm 3.54
Er2 0.9105 0.9105 0.2686  9 Er 3.53-3.59, 3 Sm 3.54
Sm1 0.1934 0.1934 0.4199  3 Er 3.54, 9 Sm 3.59-3.67
Sm2 0.8066 0.8066 0.5801  3 Er 3.54, 9 Sm 3.59-3.67
Al1 0.0000 0.0000 0.0000  6 Er 3.04
Er3 0.2941 0.2941 0.1177  3 Al 3.04
Er4 0.7059 0.7059 0.8823  3 Al 3.04

DFT (PBE) results for a relaxed Sm12Er6Al crystal.

ΔH_f (0 K) = 0.0856 eV per atom

a = 8.5125 Å, b = 8.5125 Å, c = 8.5125 Å
α = 88.74°, β = 88.74°, γ = 88.74°
Last column: nearest neighbours and their distance in Å.
Sites, in units of the cell vectors:
Sm1 0.9830 0.8246 0.6378  4 Er 3.43-3.74, 1 Al 3.46, 5 Sm 3.51-3.77
Sm2 0.0170 0.1754 0.3622  4 Er 3.43-3.74, 1 Al 3.46, 5 Sm 3.51-3.77
Sm3 0.5658 0.2144 0.4627  3 Er 3.35-3.53, 6 Sm 3.36-3.73
Sm4 0.1754 0.3622 0.0170  4 Er 3.43-3.74, 1 Al 3.46, 5 Sm 3.51-3.77
Er1 0.2797 0.7440 0.9007  1 Al 3.30, 6 Sm 3.35-3.53, 2 Er 3.37
Er2 0.7203 0.2560 0.0993  1 Al 3.30, 6 Sm 3.35-3.53, 2 Er 3.37
Sm5 0.4342 0.7856 0.5373  3 Er 3.35-3.53, 6 Sm 3.36-3.73
Sm6 0.8246 0.6378 0.9830  4 Er 3.43-3.74, 1 Al 3.46, 5 Sm 3.51-3.77
Er3 0.0993 0.7203 0.2560  1 Al 3.30, 6 Sm 3.35-3.53, 2 Er 3.37
Sm7 0.4627 0.5658 0.2144  3 Er 3.35-3.53, 6 Sm 3.36-3.73
Sm8 0.3622 0.0170 0.1754  4 Er 3.43-3.74, 1 Al 3.46, 5 Sm 3.51-3.77
Sm9 0.5373 0.4342 0.7856  3 Er 3.35-3.53, 6 Sm 3.36-3.73
Er4 0.9007 0.2797 0.7440  1 Al 3.30, 6 Sm 3.35-3.53, 2 Er 3.37
Sm10 0.2144 0.4627 0.5658  3 Er 3.35-3.53, 6 Sm 3.36-3.73
Er5 0.2560 0.0993 0.7203  1 Al 3.30, 6 Sm 3.35-3.53, 2 Er 3.37
Er6 0.7440 0.9007 0.2797  1 Al 3.30, 6 Sm 3.35-3.53, 2 Er 3.37
Sm11 0.7856 0.5373 0.4342  3 Er 3.35-3.53, 6 Sm 3.36-3.73
Sm12 0.6378 0.9830 0.8246  4 Er 3.43-3.74, 1 Al 3.46, 5 Sm 3.51-3.77
Al1 0.0000 0.0000 0.0000  6 Er 3.30, 6 Sm 3.46

DFT (PBE) results for a relaxed Sm3ErAl8 crystal.

Distance to the lowest polymorph of the same formula = 0.9 kJ/mol of atoms
ΔH_f (0 K) = -0.4991 eV per atom

a = 5.6014 Å, b = 5.6014 Å, c = 9.2170 Å
α = 90.00°, β = 90.00°, γ = 120.00°
Last column: nearest neighbours and their distance in Å.
Sites, in units of the cell vectors:
Al1 0.5044 0.4956 0.7476  6 Al 2.73-2.87
Al2 0.6758 0.8379 0.2519  6 Al 2.72-2.88
Sm1 0.6667 0.3333 0.0691  12 Al 3.27-3.36, 4 Sm 3.35-3.47
Sm2 0.0000 0.0000 0.9320  12 Al 3.28-3.34, 1 Er 3.35, 3 Sm 3.47
Al3 0.3333 0.6667 0.5011  6 Al 2.81-2.83
Al4 0.3333 0.6667 0.9987  6 Al 2.85-2.86
Sm3 0.6667 0.3333 0.4329  12 Al 3.26-3.30, 1 Sm 3.35, 3 Er 3.47
Er1 0.0000 0.0000 0.5681  12 Al 3.25-3.31, 4 Sm 3.35-3.47
Al5 0.1621 0.8379 0.2519  6 Al 2.72-2.88
Al6 0.9912 0.4956 0.7476  6 Al 2.73-2.87
Al7 0.1621 0.3242 0.2519  6 Al 2.72-2.88
Al8 0.5044 0.0088 0.7476  6 Al 2.73-2.87

DFT (PBE) results for a relaxed SmEr7Al4 crystal.

ΔH_f (0 K) = -0.0498 eV per atom

a = 5.4594 Å, b = 9.0166 Å, c = 7.4142 Å
α = 77.58°, β = 68.40°, γ = 72.38°
Last column: nearest neighbours and their distance in Å.
Sites, in units of the cell vectors:
Sm1 0.0000 0.0000 0.0000  2 Er 2.73
Al1 0.6773 0.6678 0.9775  1 Al 2.76, 3 Er 2.88-3.05
Er1 0.7010 0.3566 0.2413  4 Al 2.91-3.14
Al2 0.5551 0.2359 0.6539  1 Al 2.76, 2 Er 2.91-2.94
Er2 0.9342 0.3907 0.7410  5 Al 3.04-3.35, 1 Er 3.22
Er3 0.0658 0.6093 0.2590  5 Al 3.04-3.35, 1 Er 3.22
Er4 0.2137 0.1236 0.4490  6 Er 3.22-3.58, 4 Al 3.25-3.27
Al3 0.4449 0.7641 0.3461  1 Al 2.76, 2 Er 2.91-2.94
Al4 0.3227 0.3322 0.0225  1 Al 2.76, 3 Er 2.88-3.05
Er5 0.5000 0.0000 0.0000  2 Sm 2.73, 4 Al 2.88-2.94
Er6 0.7863 0.8764 0.5510  6 Er 3.22-3.58, 4 Al 3.25-3.27
Er7 0.2990 0.6434 0.7587  4 Al 2.91-3.14

DFT (PBE) results for a relaxed Sm6ErAl crystal.

Distance to the lowest polymorph of the same formula = 9.6 kJ/mol of atoms
ΔH_f (0 K) = 0.0362 eV per atom

a = 9.3140 Å, b = 8.6756 Å, c = 6.3643 Å
α = 47.02°, β = 42.95°, γ = 57.50°
Last column: nearest neighbours and their distance in Å.
Sites, in units of the cell vectors:
Sm1 0.2381 0.0376 0.2847  1 Al 3.12, 2 Sm 3.24-3.36
Sm2 0.7619 0.9624 0.7153  1 Al 3.12, 2 Sm 3.24-3.36
Sm3 0.4398 0.7620 0.8361  1 Al 3.12, 2 Sm 3.24-3.36
Er1 0.5000 0.5000 0.5000  12 Sm 3.51-3.68
Sm4 0.9624 0.5604 0.2392  1 Al 3.12, 2 Sm 3.24-3.36
Al1 0.0000 0.0000 0.0000  6 Sm 3.12
Sm5 0.0376 0.4396 0.7608  1 Al 3.12, 2 Sm 3.24-3.36
Sm6 0.5602 0.2380 0.1639  1 Al 3.12, 2 Sm 3.24-3.36

What did the seventh record say?
DFT (PBE) results for a relaxed Sm2Er4Al crystal.

ΔH_f (0 K) = -0.0325 eV per atom

a = 3.5892 Å, b = 3.5892 Å, c = 19.0513 Å
α = 84.59°, β = 84.59°, γ = 60.00°
Last column: nearest neighbours and their distance in Å.
Sites, in units of the cell vectors:
Er1 0.0895 0.0895 0.7314  9 Er 3.53-3.59, 3 Sm 3.54
Er2 0.9105 0.9105 0.2686  9 Er 3.53-3.59, 3 Sm 3.54
Sm1 0.1934 0.1934 0.4199  3 Er 3.54, 9 Sm 3.59-3.67
Sm2 0.8066 0.8066 0.5801  3 Er 3.54, 9 Sm 3.59-3.67
Al1 0.0000 0.0000 0.0000  6 Er 3.04
Er3 0.2941 0.2941 0.1177  3 Al 3.04
Er4 0.7059 0.7059 0.8823  3 Al 3.04

Which of these has the highest ΔH_f (0 K)?
Sm12Er6Al

What is the formula in the fifth record?
Sm2ErAl2

Number 10 is which compound?
SmEr7Al4